[1]
Compound: UFeB
Source: OQMD
Functional: PBE
Structure: relaxed

Computed properties:
Polymorph energy (0 for the lowest one) in meV/atom: 794

Structure (CIF):
```
data_UFeB
_symmetry_space_group_name_H-M 'F -4 3 m'
_symmetry_Int_Tables_number 216
_symmetry_space_group_name_Hall 'F -4 2 3'
_cell_length_a 5.7795
_cell_length_b 5.7795
_cell_length_c 5.7795
_cell_angle_alpha 90.00
_cell_angle_beta 90.00
_cell_angle_gamma 90.00
loop_
_atom_site_label
_atom_site_type_symbol
_atom_site_fract_x
_atom_site_fract_y
_atom_site_fract_z
U1 U 0.0000 0.0000 0.0000
Fe1 Fe 0.2500 0.2500 0.7500
B1 B 0.2500 0.2500 0.2500
```

[2]
Compound: AgBPt2
Source: OQMD
Functional: PBE
Structure: relaxed

Computed properties:
Total energy in eV/atom: -4.67

Structure (CIF):
```
data_AgBPt2
_symmetry_space_group_name_H-M 'F -4 3 m'
_symmetry_Int_Tables_number 216
_symmetry_space_group_name_Hall 'F -4 2 3'
_cell_length_a 6.1384
_cell_length_b 6.1384
_cell_length_c 6.1384
_cell_angle_alpha 90.00
_cell_angle_beta 90.00
_cell_angle_gamma 90.00
loop_
_atom_site_label
_atom_site_type_symbol
_atom_site_fract_x
_atom_site_fract_y
_atom_site_fract_z
Ag1 Ag 0.0000 0.0000 0.0000
B1 B 0.2500 0.2500 0.7500
Pt1 Pt 0.0000 0.0000 0.5000
Pt2 Pt 0.2500 0.2500 0.2500
```